[1]
Material: Pm3PrDy4
Method: DFT, PBE
State: optimized geometry

Unit cell a=3.6148 b=11.8834 c=6.2467 alpha=100.23 beta=89.99 gamma=90.02
With the nearest neighbours (Å) after each atom.
Atoms (fractional coordinates):
Dy1 0.5004 0.7493 0.2499  5 Pm 3.58-3.60, 1 Pr 3.60, 6 Dy 3.61
Dy2 0.4996 0.2507 0.7501  5 Pm 3.58-3.60, 1 Pr 3.60, 6 Dy 3.61
Dy3 0.9996 0.2509 0.2507  4 Pm 3.58-3.60, 2 Pr 3.60, 6 Dy 3.61
Dy4 0.0004 0.7491 0.7493  4 Pm 3.58-3.60, 2 Pr 3.60, 6 Dy 3.61
Pr1 0.5000 0.0000 0.0000  6 Dy 3.60, 4 Pm 3.61, 2 Pr 3.61
Pm1 0.5000 0.5000 0.5000  6 Dy 3.58-3.59, 6 Pm 3.61
Pm2 0.0000 0.5000 0.0000  6 Dy 3.58-3.59, 6 Pm 3.61
Pm3 0.0000 0.0000 0.5000  6 Dy 3.59-3.60, 4 Pr 3.61, 2 Pm 3.61

Values from the calculation:
**Distance to the lowest polymorph of the same formula**: 0 meV/atom
**Symmetry**: P2/m

---

[2]
Material: Pm3Pr8Dy
Method: DFT, PBE
State: optimized geometry

Unit cell a=8.7801 b=8.7806 c=8.7570 alpha=94.12 beta=136.92 gamma=101.35
With the nearest neighbours (Å) after each atom.
Atoms (fractional coordinates):
Pr1 0.1625 0.9142 0.7503  1 Dy 3.64, 7 Pr 3.66-3.75, 4 Pm 3.67-3.74
Pr2 0.5001 0.1668 0.3330  7 Pr 3.66-3.73, 3 Pm 3.69-3.73, 2 Dy 3.69-3.73
Pr3 0.1673 0.3352 0.8319  4 Pm 3.68-3.72, 7 Pr 3.68-3.73, 1 Dy 3.71
Pr4 0.8336 0.0826 0.2491  7 Pr 3.67-3.75, 4 Pm 3.67-3.74, 1 Dy 3.67
Pr5 0.1624 0.4120 0.2485  1 Dy 3.64, 4 Pm 3.66-3.73, 7 Pr 3.67-3.75
Pr6 0.8337 0.5849 0.7514  7 Pr 3.66-3.75, 4 Pm 3.67-3.74, 1 Dy 3.68
Pr7 0.1700 0.8365 0.3335  3 Pm 3.65-3.73, 7 Pr 3.66-3.74, 2 Dy 3.70-3.72
Pr8 0.4995 0.6680 0.8313  7 Pr 3.66-3.74, 4 Pm 3.70-3.73, 1 Dy 3.71
Pm1 0.5040 0.2477 0.7550  1 Pm 3.64, 1 Dy 3.65, 10 Pr 3.66-3.74
Pm2 0.5037 0.7491 0.2565  1 Dy 3.63, 10 Pr 3.65-3.74, 1 Pm 3.66
Pm3 0.8310 0.5016 0.3291  2 Pm 3.64-3.66, 10 Pr 3.66-3.73
Dy1 0.8322 0.0015 0.8304  2 Pm 3.63-3.65, 10 Pr 3.64-3.73

Values from the calculation:
**Symmetry**: P1

---

[3]
Material: PmPr12Dy7
Method: DFT, PBE
State: optimized geometry

Unit cell a=9.5047 b=9.5047 c=9.5047 alpha=107.86 beta=107.86 gamma=107.86
With the nearest neighbours (Å) after each atom.
Atoms (fractional coordinates):
Pr1 0.6222 0.7789 0.3281  4 Pr 3.40-3.79, 4 Dy 3.41-3.60
Pr2 0.3281 0.6222 0.7789  4 Pr 3.40-3.79, 4 Dy 3.41-3.60
Pr3 0.7049 0.5926 0.9474  5 Dy 3.39-3.77, 4 Pr 3.40-3.79, 1 Pm 3.80
Pr4 0.6719 0.3778 0.2211  4 Pr 3.40-3.79, 4 Dy 3.41-3.60
Pr5 0.2211 0.6719 0.3778  4 Pr 3.40-3.79, 4 Dy 3.41-3.60
Pr6 0.9474 0.7049 0.5926  5 Dy 3.39-3.77, 4 Pr 3.40-3.79, 1 Pm 3.80
Pr7 0.3778 0.2211 0.6719  4 Pr 3.40-3.79, 4 Dy 3.41-3.60
Pr8 0.5926 0.9474 0.7049  5 Dy 3.39-3.77, 4 Pr 3.40-3.79, 1 Pm 3.80
Pr9 0.7789 0.3281 0.6222  4 Pr 3.40-3.79, 4 Dy 3.41-3.60
Pr10 0.2951 0.4074 0.0526  5 Dy 3.39-3.77, 4 Pr 3.40-3.79, 1 Pm 3.80
Pr11 0.4074 0.0526 0.2951  5 Dy 3.39-3.77, 4 Pr 3.40-3.79, 1 Pm 3.80
Pr12 0.0526 0.2951 0.4074  5 Dy 3.39-3.77, 4 Pr 3.40-3.79, 1 Pm 3.80
Dy1 0.5000 0.5000 0.5000  12 Pr 3.60-3.77
Dy2 0.0074 0.8950 0.3194  7 Pr 3.39-3.74, 1 Pm 3.46, 3 Dy 3.47-3.70
Dy3 0.6806 0.9926 0.1050  7 Pr 3.39-3.74, 1 Pm 3.46, 3 Dy 3.47-3.70
Dy4 0.1050 0.6806 0.9926  7 Pr 3.39-3.74, 1 Pm 3.46, 3 Dy 3.47-3.70
Dy5 0.8950 0.3194 0.0074  7 Pr 3.39-3.74, 1 Pm 3.46, 3 Dy 3.47-3.70
Dy6 0.9926 0.1050 0.6806  7 Pr 3.39-3.74, 1 Pm 3.46, 3 Dy 3.47-3.70
Dy7 0.3194 0.0074 0.8950  7 Pr 3.39-3.74, 1 Pm 3.46, 3 Dy 3.47-3.70
Pm1 0.0000 0.0000 0.0000  6 Dy 3.46, 6 Pr 3.80

Values from the calculation:
**Distance to the lowest polymorph of the same formula**: 0 meV/atom
**Symmetry**: R-3

---

[4]
Material: Pm2PrDy
Method: DFT, PBE
State: optimized geometry

Unit cell a=5.7910 b=5.7910 c=5.7910 alpha=60.00 beta=60.00 gamma=60.00
With the nearest neighbours (Å) after each atom.
Atoms (fractional coordinates):
Pm1 0.7500 0.7500 0.7500  4 Dy 3.55, 4 Pr 3.55
Pm2 0.2500 0.2500 0.2500  4 Pr 3.55, 4 Dy 3.55
Dy1 0.0000 0.0000 0.0000  8 Pm 3.55
Pr1 0.5000 0.5000 0.5000  8 Pm 3.55

Values from the calculation:
**Distance to the lowest polymorph of the same formula**: 127 meV/atom
**Symmetry**: Fm-3m

---

| no. | formation enthalpy at 0 K (eV/f.u.) |
| --- | --- |
| 1 | 0.123 |
| 2 | 0.373 |
| 3 | 2.867 |
| 4 | 0.574 |